The following is a PBE-GGA calculation of an optimized crystal structure of K2Ni, from the Alexandria database.

a b c (Å): 6.9004 6.9004 6.9004
angles (deg): 60.00 60.00 60.00
Closest atoms and distances in Å follow each position.
Element x y z (fractional)
K  0.0000  0.0000  0.0000  6 K 3.45
K  0.0000  0.0000  0.5000  6 K 3.45
K  0.0000  0.5000  0.0000  6 K 3.45
K  0.5000  0.0000  0.0000  6 K 3.45
Ni  0.3750  0.3750  0.3750  12 K 4.05, 4 Ni 4.23
Ni  0.6250  0.6250  0.6250  12 K 4.05, 4 Ni 4.23

## Properties
* calculated formation energy: 1117 meV/atom
* total moment: 0.90 μB per formula unit
* total DFT energy (no corrections): -1.541 eV per atom